A geometry-optimized LiTc2P structure, computed with PBE.

Structure (extended XYZ):
```
4
Lattice="-1.737 -2.106 4.653 -3.173 -3.460 2.657 1.976 -3.629 1.039" Properties=species:S:1:pos:R:3 pbc="T T T"
Li -2.201 -6.896 6.261
P -0.734 -2.299 2.087
Tc -4.573 -5.470 7.002
Tc -1.804 -4.694 4.482
```

Computed properties:
- Fermi-level density of states: 0.59 states/eV per atom
- Formation energy from the elements: -0.5 eV per formula unit



A geometry-optimized Tm5Cu6 structure, computed with PBE.

Structure (extended XYZ):
```
11
Lattice="4.506 -0.007 -1.422 -0.806 6.431 -2.579 0.032 -0.476 8.233" Properties=species:S:1:pos:R:3 pbc="T T T"
Tm -0.403 3.216 -1.289
Tm 2.508 4.173 0.191
Tm 1.224 1.774 4.042
Tm 0.973 5.176 3.166
Tm 2.758 0.772 1.067
Cu 1.716 4.057 5.700
Cu 2.015 1.890 -1.467
Cu 3.646 0.317 3.848
Cu 3.288 3.176 2.703
Cu 0.086 5.630 0.385
Cu 0.444 2.772 1.530
```

Computed properties:
- Fermi-level density of states: 0.76 states/eV per atom
- Formation energy from the elements: -1.3 eV per formula unit



A geometry-optimized Pm2SmScBi4 structure, computed with PBE.

Structure (extended XYZ):
```
8
Lattice="4.507 0.000 0.000 0.000 7.797 0.133 0.000 -2.728 7.302" Properties=species:S:1:pos:R:3 pbc="T T T"
Pm 2.253 -1.364 3.651
Pm 0.000 2.535 3.717
Sm 0.000 0.000 0.000
Sc 2.253 3.898 0.066
Bi 2.253 1.336 1.801
Bi 2.253 3.733 5.633
Bi 0.000 -0.031 5.616
Bi 0.000 5.100 1.818
```

Computed properties:
- Fermi-level density of states: 0.17 states/eV per atom
- Formation energy from the elements: -6.8 eV per formula unit



A geometry-optimized SnTe2IO structure, computed with PBE.

Structure (extended XYZ):
```
5
Lattice="-1.927 -3.966 -1.239 -0.134 -1.306 4.388 -5.928 2.687 0.619" Properties=species:S:1:pos:R:3 pbc="T T T"
I -2.964 1.344 0.309
Te -0.067 -0.653 2.194
Te -0.963 -1.983 -0.619
Sn -3.994 -1.292 1.884
O 0.000 0.000 0.000
```

Computed properties:
- Fermi-level density of states: 0.77 states/eV per atom
- ΔE to the lowest computed polymorph: 0.0 kJ/mol of atoms



A geometry-optimized BaLa3 structure, computed with PBE.

Structure (extended XYZ):
```
4
Lattice="12.945 -0.008 -0.004 12.378 3.790 -0.004 12.378 1.849 3.308" Properties=species:S:1:pos:R:3 pbc="T T T"
Ba 0.000 0.000 0.000
La 28.515 4.259 2.496
La 18.851 2.816 1.650
La 9.186 1.372 0.804
```

Computed properties:
- Fermi-level density of states: 1.52 states/eV per atom
- ΔE to the lowest computed polymorph: 1.1 kJ/mol of atoms
- Formation energy from the elements: 0.4 eV per formula unit



A geometry-optimized K2HfC structure, computed with PBE.

Structure (extended XYZ):
```
8
Lattice="-8.165 -8.653 -4.192 9.595 -6.983 -4.276 0.817 -8.805 -2.394" Properties=species:S:1:pos:R:3 pbc="T T T"
K -2.182 -6.874 -2.974
K 3.664 -9.255 -4.574
K 2.932 -13.764 -5.766
K 0.081 -18.987 -8.410
Hf 0.000 0.000 0.000
Hf -3.316 -12.638 -5.410
C 0.715 -7.818 -4.234
C 5.564 -11.803 -5.452
```

Computed properties:
- Fermi-level density of states: 0.22 states/eV per atom
- Formation energy from the elements: 3.3 eV per formula unit



A geometry-optimized NdY2TmSe4 structure, computed with PBE.

Structure (extended XYZ):
```
8
Lattice="4.051 0.000 0.000 0.000 7.068 -0.155 0.000 2.477 6.793" Properties=species:S:1:pos:R:3 pbc="T T T"
Nd 2.025 3.534 -0.077
Y 0.000 2.477 6.793
Y 2.025 1.239 3.397
Tm 0.000 4.772 3.319
Se 0.000 7.173 4.900
Se 4.051 2.372 1.738
Se 2.025 5.936 1.648
Se 2.025 3.609 4.991
```

Computed properties:
- Electronic total energy: -6.26 eV per atom
- Fermi-level density of states: 0.55 states/eV per atom



A geometry-optimized Rb2SnI4 structure, computed with PBE.

Structure (extended XYZ):
```
7
Lattice="-5.380 1.942 2.463 0.811 -3.863 4.817 2.271 5.778 8.276" Properties=species:S:1:pos:R:3 pbc="T T T"
I 0.730 3.499 6.708
I -3.028 0.359 8.848
I 0.405 -1.931 2.409
I -2.690 0.971 1.232
Sn 0.000 0.000 0.000
Rb -1.036 0.886 4.910
Rb -1.262 2.971 10.646
```

Computed properties:
- ΔE to the lowest computed polymorph: 2.7 kJ/mol of atoms